Pm2SmEr2Mg5: relaxed, GGA-PBE.

Properties
Uncorrected energy   -3.09 eV/atom
Calculated formation energy   0.038 eV per atom
D(E_F)   14.22 states/eV per cell

The structure in CIF format:
```
data_Pm2SmEr2Mg5
_symmetry_space_group_name_H-M 'P 4/m b m'
_symmetry_Int_Tables_number 127
_symmetry_space_group_name_Hall '-P 4 2ab'
_cell_length_a 10.629
_cell_length_b 10.629
_cell_length_c 5.103
_cell_angle_alpha 90.00
_cell_angle_beta 90.00
_cell_angle_gamma 90.00
loop_
_atom_site_label
_atom_site_type_symbol
_atom_site_fract_x
_atom_site_fract_y
_atom_site_fract_z
Pm1 Pm 0.177 0.323 0.000
Sm1 Sm 0.000 0.000 0.000
Er1 Er 0.119 0.619 0.000
Mg1 Mg 0.000 0.500 0.500
Mg2 Mg 0.074 0.802 0.500
```

---

Ca2InTcOs: relaxed, GGA-PBE.

Properties
Uncorrected energy   -4.04 eV/atom
Calculated formation energy   1.623 eV per atom
D(E_F)   5.89 states/eV per cell

The structure in CIF format:
```
data_Ca2InTcOs
_symmetry_space_group_name_H-M 'P 4/m m m'
_symmetry_Int_Tables_number 123
_symmetry_space_group_name_Hall '-P 4 2'
_cell_length_a 5.588
_cell_length_b 5.588
_cell_length_c 5.121
_cell_angle_alpha 90.00
_cell_angle_beta 90.00
_cell_angle_gamma 90.00
loop_
_atom_site_label
_atom_site_type_symbol
_atom_site_fract_x
_atom_site_fract_y
_atom_site_fract_z
Ca1 Ca 0.000 0.500 0.000
In1 In 0.000 0.000 0.000
Tc1 Tc 0.500 0.500 0.500
Os1 Os 0.000 0.000 0.500
```

---

Mg2AlCl: relaxed, GGA-PBE.

Properties
Uncorrected formation energy   0.012 eV/atom
Uncorrected energy   -2.18 eV/atom
Offset from the most stable computed form   0.510 eV/atom
D(E_F)   16.65 states/eV per cell

The structure in CIF format:
```
data_Mg2AlCl
_symmetry_space_group_name_H-M 'F m -3 m'
_symmetry_Int_Tables_number 225
_symmetry_space_group_name_Hall '-F 4 2 3'
_cell_length_a 7.195
_cell_length_b 7.195
_cell_length_c 7.195
_cell_angle_alpha 90.00
_cell_angle_beta 90.00
_cell_angle_gamma 90.00
loop_
_atom_site_label
_atom_site_type_symbol
_atom_site_fract_x
_atom_site_fract_y
_atom_site_fract_z
Mg1 Mg 0.250 0.250 0.250
Al1 Al 0.000 0.000 0.000
Cl1 Cl 0.000 0.000 0.500
```

---

CsIn9Hg2: relaxed, GGA-PBE.

Properties
Uncorrected energy   -2.17 eV/atom
Calculated formation energy   0.002 eV per atom
D(E_F)   10.58 states/eV per cell

The structure in CIF format:
```
data_CsIn9Hg2
_symmetry_space_group_name_H-M 'C 1 2/m 1'
_symmetry_Int_Tables_number 12
_symmetry_space_group_name_Hall '-C 2y'
_cell_length_a 10.718
_cell_length_b 7.019
_cell_length_c 10.971
_cell_angle_alpha 90.00
_cell_angle_beta 116.65
_cell_angle_gamma 90.00
loop_
_atom_site_label
_atom_site_type_symbol
_atom_site_fract_x
_atom_site_fract_y
_atom_site_fract_z
Cs1 Cs 0.000 0.000 0.000
In1 In 0.000 0.000 0.500
In2 In 0.129 0.263 0.745
In3 In 0.140 0.500 0.298
In4 In 0.153 0.500 0.010
Hg1 Hg 0.225 0.000 0.392
```